1.
The following is a DFT calculation (PBE-GGA) of CsAc2CuTe4 after structural relaxation.

Output
Its mass density is 6.1 g cm⁻³. As for the space group: No. 63.

Lattice parameters (Å, degrees): 4.701 8.599 16.264 90.00 90.00 105.86
Sites, in units of the cell vectors:
Ac: 0.636 0.272 0.440
Cs: 0.103 0.206 0.750
Te: 0.737 0.475 0.618
Te: 0.263 0.525 0.382
Cu: 0.163 0.327 0.250
Cu: 0.837 0.673 0.750
Te: 0.737 0.475 0.882
Ac: 0.364 0.728 0.560
Te: 0.578 0.156 0.250
Ac: 0.364 0.728 0.940
Te: 0.000 0.000 0.000
Te: 0.263 0.525 0.118
Cs: 0.897 0.794 0.250
Te: 0.422 0.844 0.750
Te: 0.000 0.000 0.500
Ac: 0.636 0.272 0.060

***

2.
The following is a DFT calculation (PBE-GGA) of Cs2AcDyO4 after structural relaxation.

Output
Its mass density is 7.1 g cm⁻³. As for the space group: No. 10.

Lattice parameters (Å, degrees): 3.733 6.483 7.284 107.29 90.00 90.00
Sites, in units of the cell vectors:
Cs: 0.500 0.000 0.500
O: 0.500 0.207 0.168
O: 0.000 0.745 0.169
Dy: 0.000 0.000 0.000
O: 0.500 0.793 0.832
Ac: 0.500 0.500 0.000
O: 0.000 0.255 0.831
Cs: 0.000 0.500 0.500

***

3.
The following is a DFT calculation (PBE-GGA) of Cs3Ac2DyO6 after structural relaxation.

Output
Its mass density is 7.1 g cm⁻³. As for the space group: No. 12.

Lattice parameters (Å, degrees): 6.571 6.571 7.303 98.54 98.54 120.05
Sites, in units of the cell vectors:
O: 0.943 0.632 0.830
Cs: 0.163 0.837 0.500
O: 0.745 0.745 0.171
Cs: 0.837 0.163 0.500
Ac: 0.667 0.333 0.000
Dy: 0.000 0.000 0.000
Ac: 0.333 0.667 0.000
O: 0.368 0.057 0.170
O: 0.255 0.255 0.829
O: 0.057 0.368 0.170
Cs: 0.500 0.500 0.500
O: 0.632 0.943 0.830

***

It is found that the energy relative to the elements, uncorrected values, taken in the order of the records, are -1256 -2534 -2529 meV per atom.